1.
This record from the Alexandria database describes a relaxed NaBeAg3 crystal. The functional is PBE.

Results
* energy relative to the lowest polymorph listed for this composition: 0 meV per atom
* V: 19.25 A^3/atom
* magnetization: 0.00 μB per formula unit
* formation energy: 4.10 kcal/mol of atoms
* DOS(E_F): 1.8 states/eV/f.u.

Unit cell a=4.583 b=4.583 c=4.583 alpha=90.00 beta=90.00 gamma=90.00
Atoms (fractional coordinates):
Na: 0.000 0.000 0.000
Be: 0.500 0.500 0.500
Ag: 0.000 0.500 0.500
Ag: 0.500 0.000 0.500
Ag: 0.500 0.500 0.000

=====

2.
This record from the Alexandria database describes a relaxed NaBe2Ag2 crystal. The functional is PBE.

Results
* energy relative to the lowest polymorph listed for this composition: 128 meV per atom
* V: 16.25 A^3/atom
* magnetization: 0.00 μB per formula unit
* formation energy: 6.97 kcal/mol of atoms
* DOS(E_F): 1.5 states/eV/f.u.

Unit cell a=3.413 b=3.413 c=13.949 alpha=90.00 beta=90.00 gamma=90.00
Atoms (fractional coordinates):
Na: 0.000 0.000 0.000
Na: 0.500 0.500 0.500
Be: 0.000 0.500 0.250
Be: 0.000 0.500 0.750
Be: 0.500 0.000 0.250
Be: 0.500 0.000 0.750
Ag: 0.000 0.000 0.374
Ag: 0.000 0.000 0.626
Ag: 0.500 0.500 0.126
Ag: 0.500 0.500 0.874

=====

3.
This record from the Alexandria database describes a relaxed Na2BeAgO4 crystal. The functional is PBE.

Results
* V: 11.91 A^3/atom
* magnetization: 1.02 μB per formula unit
* formation energy without anion corrections: -7.81 eV/f.u.
* DOS(E_F): 3.4 states/eV/f.u.

Unit cell a=5.888 b=5.888 c=5.495 alpha=90.00 beta=90.00 gamma=90.00
Atoms (fractional coordinates):
Na: 0.000 0.500 0.000
Na: 0.000 0.500 0.500
Na: 0.500 0.000 0.000
Na: 0.500 0.000 0.500
Be: 0.000 0.000 0.000
Be: 0.500 0.500 0.500
Ag: 0.000 0.000 0.500
Ag: 0.500 0.500 0.000
O: 0.149 0.149 0.804
O: 0.149 0.851 0.196
O: 0.351 0.351 0.304
O: 0.351 0.649 0.696
O: 0.649 0.351 0.696
O: 0.649 0.649 0.304
O: 0.851 0.149 0.196
O: 0.851 0.851 0.804

=====

4.
This record from the Alexandria database describes a relaxed Na2BeAgP2 crystal. The functional is PBE.

Results
* V: 18.07 A^3/atom
* magnetization: 0.00 μB per formula unit
* formation energy: -5.67 kcal/mol of atoms
* DOS(E_F): 2.6 states/eV/f.u.

Unit cell a=7.954 b=7.954 c=7.954 alpha=138.31 beta=59.82 gamma=139.11
Atoms (fractional coordinates):
Na: 0.179 0.221 0.400
Na: 0.321 0.721 0.042
Na: 0.679 0.279 0.958
Na: 0.821 0.779 0.600
Be: 0.250 0.750 0.500
Be: 0.750 0.250 0.500
Ag: 0.250 0.250 0.000
Ag: 0.750 0.750 0.000
P: 0.104 0.699 0.803
P: 0.396 0.199 0.596
P: 0.604 0.801 0.404
P: 0.896 0.301 0.197

=====

5.
This record from the Alexandria database describes a relaxed NaBeAg2Pt crystal. The functional is PBE.

Results
* V: 17.92 A^3/atom
* magnetization: 0.00 μB per formula unit
* formation energy: 0.06 kcal/mol of atoms
* DOS(E_F): 1.4 states/eV/f.u.

Unit cell a=4.585 b=4.585 c=4.262 alpha=90.00 beta=90.00 gamma=90.00
Atoms (fractional coordinates):
Na: 0.000 0.000 0.000
Be: 0.500 0.500 0.500
Ag: 0.000 0.500 0.500
Ag: 0.500 0.000 0.500
Pt: 0.500 0.500 0.000

=====

6.
This record from the Alexandria database describes a relaxed Na2BeAgRh crystal. The functional is PBE.

Results
* V: 20.66 A^3/atom
* magnetization: 0.29 μB per formula unit
* formation energy: 20.76 kcal/mol of atoms
* DOS(E_F): 4.2 states/eV/f.u.

Unit cell a=4.874 b=4.874 c=4.348 alpha=90.00 beta=90.00 gamma=90.00
Atoms (fractional coordinates):
Na: 0.000 0.500 0.000
Na: 0.500 0.000 0.000
Be: 0.000 0.000 0.000
Ag: 0.000 0.000 0.500
Rh: 0.500 0.500 0.500

=====

7.
This record from the Alexandria database describes a relaxed Na2BeAgSb2 crystal. The functional is PBE.

Results
* V: 23.34 A^3/atom
* magnetization: 0.00 μB per formula unit
* formation energy without anion corrections: -1.12 eV/f.u.
* DOS(E_F): 1.3 states/eV/f.u.

Unit cell a=8.699 b=8.699 c=8.699 alpha=138.70 beta=59.31 gamma=139.39
Atoms (fractional coordinates):
Na: 0.175 0.207 0.381
Na: 0.325 0.707 0.032
Na: 0.675 0.293 0.968
Na: 0.825 0.793 0.619
Be: 0.250 0.750 0.500
Be: 0.750 0.250 0.500
Ag: 0.250 0.250 0.000
Ag: 0.750 0.750 0.000
Sb: 0.109 0.704 0.813
Sb: 0.391 0.204 0.595
Sb: 0.609 0.796 0.405
Sb: 0.891 0.296 0.187

=====

8.
This record from the Alexandria database describes a relaxed NaBeAgSe2 crystal. The functional is PBE.

Results
* V: 23.12 A^3/atom
* magnetization: 0.00 μB per formula unit
* formation energy without anion corrections: -2.69 eV/f.u.

Unit cell a=6.790 b=4.651 c=7.459 alpha=90.00 beta=101.13 gamma=90.00
Atoms (fractional coordinates):
Na: 0.000 0.238 0.250
Na: 0.000 0.762 0.750
Be: 0.500 0.000 0.000
Be: 0.500 0.000 0.500
Ag: 0.500 0.479 0.250
Ag: 0.500 0.521 0.750
Se: 0.249 0.248 0.951
Se: 0.249 0.752 0.451
Se: 0.751 0.248 0.549
Se: 0.751 0.752 0.049

=====

9.
This record from the Alexandria database describes a relaxed NaBeSiAg2 crystal. The functional is PBE.

Results
* V: 19.27 A^3/atom
* magnetization: 0.00 μB per formula unit
* formation energy without anion corrections: 3.32 eV/f.u.
* DOS(E_F): 2.5 states/eV/f.u.

Unit cell a=4.473 b=4.473 c=4.816 alpha=90.00 beta=90.00 gamma=90.00
Atoms (fractional coordinates):
Na: 0.000 0.000 0.000
Be: 0.000 0.000 0.500
Si: 0.500 0.500 0.000
Ag: 0.000 0.500 0.500
Ag: 0.500 0.000 0.500

=====

10.
This record from the Alexandria database describes a relaxed NaBeAgTe2 crystal. The functional is PBE.

Results
* V: 28.21 A^3/atom
* magnetization: 0.00 μB per formula unit
* formation energy without anion corrections: -1.44 eV/f.u.

Unit cell a=7.197 b=5.183 c=7.681 alpha=90.00 beta=100.09 gamma=90.00
Atoms (fractional coordinates):
Na: 0.000 0.219 0.250
Na: 0.000 0.781 0.750
Be: 0.500 0.000 0.000
Be: 0.500 0.000 0.500
Ag: 0.500 0.413 0.250
Ag: 0.500 0.587 0.750
Te: 0.248 0.262 0.940
Te: 0.248 0.738 0.440
Te: 0.752 0.262 0.560
Te: 0.752 0.738 0.060

=====

11.
This record from the Alexandria database describes a relaxed Be2NbAg2 crystal. The functional is PBE.

Results
* energy relative to the lowest polymorph listed for this composition: 237 meV per atom
* V: 14.99 A^3/atom
* magnetization: 0.00 μB per formula unit
* formation energy: 12.21 kcal/mol of atoms
* DOS(E_F): 2.6 states/eV/f.u.

Unit cell a=3.562 b=3.562 c=11.820 alpha=90.00 beta=90.00 gamma=90.00
Atoms (fractional coordinates):
Be: 0.000 0.500 0.250
Be: 0.000 0.500 0.750
Be: 0.500 0.000 0.250
Be: 0.500 0.000 0.750
Nb: 0.000 0.000 0.000
Nb: 0.500 0.500 0.500
Ag: 0.000 0.000 0.383
Ag: 0.000 0.000 0.617
Ag: 0.500 0.500 0.117
Ag: 0.500 0.500 0.883

=====

12.
This record from the Alexandria database describes a relaxed Be2NbAg2 crystal. The functional is PBE.

Results
* energy relative to the lowest polymorph listed for this composition: 0 meV per atom
* V: 14.36 A^3/atom
* magnetization: 0.00 μB per formula unit
* formation energy: 6.74 kcal/mol of atoms
* DOS(E_F): 2.6 states/eV/f.u.

Unit cell a=7.362 b=7.362 c=2.650 alpha=90.00 beta=90.00 gamma=90.00
Atoms (fractional coordinates):
Be: 0.172 0.328 0.000
Be: 0.328 0.828 0.000
Be: 0.672 0.172 0.000
Be: 0.828 0.672 0.000
Nb: 0.000 0.000 0.500
Nb: 0.500 0.500 0.500
Ag: 0.131 0.631 0.500
Ag: 0.369 0.131 0.500
Ag: 0.631 0.869 0.500
Ag: 0.869 0.369 0.500

=====

13.
This record from the Alexandria database describes a relaxed BeNb3Ag crystal. The functional is PBE.

Results
* energy relative to the lowest polymorph listed for this composition: 0 meV per atom
* V: 17.51 A^3/atom
* magnetization: 0.00 μB per formula unit
* formation energy: 13.86 kcal/mol of atoms
* DOS(E_F): 8.5 states/eV/f.u.

Unit cell a=4.441 b=4.441 c=4.441 alpha=90.00 beta=90.00 gamma=90.00
Atoms (fractional coordinates):
Be: 0.000 0.000 0.000
Nb: 0.000 0.000 0.500
Nb: 0.000 0.500 0.000
Nb: 0.500 0.000 0.000
Ag: 0.500 0.500 0.500

=====

14.
This record from the Alexandria database describes a relaxed BeNb3Ag crystal. The functional is PBE.

Results
* energy relative to the lowest polymorph listed for this composition: 1516 meV per atom
* V: 23.55 A^3/atom
* magnetization: 1.68 μB per formula unit
* formation energy: 48.81 kcal/mol of atoms
* DOS(E_F): 7.2 states/eV/f.u.

Unit cell a=4.901 b=4.901 c=4.901 alpha=90.00 beta=90.00 gamma=90.00
Atoms (fractional coordinates):
Be: 0.000 0.000 0.000
Nb: 0.000 0.500 0.500
Nb: 0.500 0.000 0.500
Nb: 0.500 0.500 0.000
Ag: 0.500 0.500 0.500

=====

15.
This record from the Alexandria database describes a relaxed Be2Nb2Ag crystal. The functional is PBE.

Results
* V: 14.06 A^3/atom
* magnetization: 0.00 μB per formula unit
* formation energy: -0.10 kcal/mol of atoms
* DOS(E_F): 2.7 states/eV/f.u.

Unit cell a=6.178 b=6.178 c=3.683 alpha=90.00 beta=90.00 gamma=90.00
Atoms (fractional coordinates):
Be: 0.126 0.374 0.000
Be: 0.374 0.874 0.000
Be: 0.626 0.126 0.000
Be: 0.874 0.626 0.000
Nb: 0.165 0.665 0.500
Nb: 0.335 0.165 0.500
Nb: 0.665 0.835 0.500
Nb: 0.835 0.335 0.500
Ag: 0.000 0.000 0.000
Ag: 0.500 0.500 0.000

=====

16.
This record from the Alexandria database describes a relaxed Be17NbAg crystal. The functional is PBE.

Results
* V: 9.01 A^3/atom
* magnetization: 0.00 μB per formula unit
* formation energy: -1.87 kcal/mol of atoms
* DOS(E_F): 4.9 states/eV/f.u.

Unit cell a=5.593 b=5.593 c=5.593 alpha=82.84 beta=82.84 gamma=82.84
Atoms (fractional coordinates):
Be: 0.000 0.500 0.500
Be: 0.053 0.053 0.053
Be: 0.140 0.140 0.661
Be: 0.140 0.661 0.140
Be: 0.155 0.448 0.857
Be: 0.155 0.857 0.448
Be: 0.252 0.252 0.252
Be: 0.314 0.811 0.811
Be: 0.448 0.155 0.857
Be: 0.448 0.857 0.155
Be: 0.500 0.000 0.500
Be: 0.500 0.500 0.000
Be: 0.661 0.140 0.140
Be: 0.811 0.314 0.811
Be: 0.811 0.811 0.314
Be: 0.857 0.155 0.448
Be: 0.857 0.448 0.155
Nb: 0.815 0.815 0.815
Ag: 0.510 0.510 0.510

=====

17.
This record from the Alexandria database describes a relaxed BeNb2AgOs crystal. The functional is PBE.

Results
* V: 16.21 A^3/atom
* magnetization: 0.00 μB per formula unit
* formation energy: 12.62 kcal/mol of atoms
* DOS(E_F): 5.1 states/eV/f.u.

Unit cell a=4.433 b=4.433 c=4.125 alpha=90.00 beta=90.00 gamma=90.00
Atoms (fractional coordinates):
Be: 0.000 0.000 0.000
Nb: 0.000 0.500 0.000
Nb: 0.500 0.000 0.000
Ag: 0.500 0.500 0.500
Os: 0.000 0.000 0.500

=====

18.
This record from the Alexandria database describes a relaxed BeNbAgPd2 crystal. The functional is PBE.

Results
* V: 19.29 A^3/atom
* magnetization: 2.32 μB per formula unit
* formation energy: 25.71 kcal/mol of atoms
* DOS(E_F): 5.9 states/eV/f.u.

Unit cell a=4.897 b=4.897 c=4.021 alpha=90.00 beta=90.00 gamma=90.00
Atoms (fractional coordinates):
Be: 0.000 0.000 0.000
Nb: 0.500 0.500 0.000
Ag: 0.000 0.000 0.500
Pd: 0.000 0.500 0.500
Pd: 0.500 0.000 0.500

=====

19.
This record from the Alexandria database describes a relaxed RbBeNb2Ag crystal. The functional is PBE.

Results
* V: 21.28 A^3/atom
* magnetization: 0.00 μB per formula unit
* formation energy: 63.41 kcal/mol of atoms
* DOS(E_F): 4.6 states/eV/f.u.

Unit cell a=4.864 b=4.864 c=4.497 alpha=90.00 beta=90.00 gamma=90.00
Atoms (fractional coordinates):
Rb: 0.000 0.000 0.000
Be: 0.000 0.000 0.500
Nb: 0.000 0.500 0.000
Nb: 0.500 0.000 0.000
Ag: 0.500 0.500 0.500

=====

20.
This record from the Alexandria database describes a relaxed Be2NbAgSe crystal. The functional is PBE.

Results
* V: 20.82 A^3/atom
* magnetization: 0.00 μB per formula unit
* formation energy without anion corrections: 4.75 eV/f.u.
* DOS(E_F): 2.7 states/eV/f.u.

Unit cell a=4.627 b=4.627 c=4.863 alpha=90.00 beta=90.00 gamma=90.00
Atoms (fractional coordinates):
Be: 0.000 0.500 0.000
Be: 0.500 0.000 0.000
Nb: 0.000 0.000 0.000
Ag: 0.500 0.500 0.500
Se: 0.000 0.000 0.500